No. 1
A plane-wave DFT calculation with PBE-GGA was carried out for a relaxed AgSn2IrS crystal.

Results
**Volume**: 27.468 Å³ per atom

Geometry as CIF:
```
data_AgSn2IrS
_space_group_name_H-M_alt 'P 4/m m m'
_space_group_IT_number 123
_space_group_name_Hall '-P 4 2'
_cell_length_a 5.235
_cell_length_b 5.235
_cell_length_c 5.011
_cell_angle_alpha 90.00
_cell_angle_beta 90.00
_cell_angle_gamma 90.00
loop_
_atom_site_label
_atom_site_type_symbol
_atom_site_fract_x
_atom_site_fract_y
_atom_site_fract_z
Ag1 Ag 0.000 0.000 0.000
Sn1 Sn 0.000 0.500 0.000
Ir1 Ir 0.000 0.000 0.500
S1 S 0.500 0.500 0.500
```

No. 2
A plane-wave DFT calculation with PBE-GGA was carried out for a relaxed SrAg2IrS crystal.

Results
**Volume**: 29.305 Å³ per atom

Geometry as CIF:
```
data_SrAg2IrS
_space_group_name_H-M_alt 'P 4/m m m'
_space_group_IT_number 123
_space_group_name_Hall '-P 4 2'
_cell_length_a 5.010
_cell_length_b 5.010
_cell_length_c 5.837
_cell_angle_alpha 90.00
_cell_angle_beta 90.00
_cell_angle_gamma 90.00
loop_
_atom_site_label
_atom_site_type_symbol
_atom_site_fract_x
_atom_site_fract_y
_atom_site_fract_z
Sr1 Sr 0.000 0.000 0.000
Ag1 Ag 0.000 0.500 0.500
Ir1 Ir 0.000 0.000 0.500
S1 S 0.500 0.500 0.000
```

No. 3
A plane-wave DFT calculation with PBE-GGA was carried out for a relaxed Ag2SbIr crystal.

Results
**Volume**: 18.621 Å³ per atom

Geometry as CIF:
```
data_Ag2SbIr
_space_group_name_H-M_alt 'C 1 m 1'
_space_group_IT_number 8
_space_group_name_Hall 'C -2y'
_cell_length_a 9.322
_cell_length_b 3.304
_cell_length_c 5.008
_cell_angle_alpha 90.00
_cell_angle_beta 105.05
_cell_angle_gamma 90.00
loop_
_atom_site_label
_atom_site_type_symbol
_atom_site_fract_x
_atom_site_fract_y
_atom_site_fract_z
Ag1 Ag 0.000 0.000 0.000
Ag2 Ag 0.249 0.000 0.813
Sb1 Sb 0.272 0.500 0.346
Ir1 Ir 0.001 0.500 0.491
```

No. 4
A plane-wave DFT calculation with PBE-GGA was carried out for a relaxed AgSb2Ir crystal.

Results
**Volume**: 20.538 Å³ per atom
**Energy above the lowest structure with this stoichiometry**: 0.463 eV per atom

Geometry as CIF:
```
data_AgSb2Ir
_space_group_name_H-M_alt 'F -4 3 m'
_space_group_IT_number 216
_space_group_name_Hall 'F -4 2 3'
_cell_length_a 6.901
_cell_length_b 6.901
_cell_length_c 6.901
_cell_angle_alpha 90.00
_cell_angle_beta 90.00
_cell_angle_gamma 90.00
loop_
_atom_site_label
_atom_site_type_symbol
_atom_site_fract_x
_atom_site_fract_y
_atom_site_fract_z
Ag1 Ag 0.000 0.000 0.000
Sb1 Sb 0.000 0.000 0.500
Sb2 Sb 0.250 0.250 0.750
Ir1 Ir 0.250 0.250 0.250
```

No. 5
A plane-wave DFT calculation with PBE-GGA was carried out for a relaxed AgSbIr2 crystal.

Results
**Volume**: 18.169 Å³ per atom

Geometry as CIF:
```
data_AgSbIr2
_space_group_name_H-M_alt 'P 4 m m'
_space_group_IT_number 99
_space_group_name_Hall 'P 4 -2'
_cell_length_a 2.925
_cell_length_b 2.925
_cell_length_c 8.493
_cell_angle_alpha 90.00
_cell_angle_beta 90.00
_cell_angle_gamma 90.00
loop_
_atom_site_label
_atom_site_type_symbol
_atom_site_fract_x
_atom_site_fract_y
_atom_site_fract_z
Ag1 Ag 0.000 0.000 0.000
Sb1 Sb 0.500 0.500 0.685
Ir1 Ir 0.000 0.000 0.439
Ir2 Ir 0.500 0.500 0.238
```

No. 6
A plane-wave DFT calculation with PBE-GGA was carried out for a relaxed AgSb2Ir crystal.

Results
**Volume**: 20.260 Å³ per atom
**Energy above the lowest structure with this stoichiometry**: 0.281 eV per atom

Geometry as CIF:
```
data_AgSb2Ir
_space_group_name_H-M_alt 'I -4 m 2'
_space_group_IT_number 119
_space_group_name_Hall 'I -4 -2'
_cell_length_a 4.146
_cell_length_b 4.146
_cell_length_c 9.428
_cell_angle_alpha 90.00
_cell_angle_beta 90.00
_cell_angle_gamma 90.00
loop_
_atom_site_label
_atom_site_type_symbol
_atom_site_fract_x
_atom_site_fract_y
_atom_site_fract_z
Ag1 Ag 0.000 0.000 0.000
Sb1 Sb 0.000 0.000 0.500
Sb2 Sb 0.000 0.500 0.250
Ir1 Ir 0.000 0.500 0.750
```

No. 7
A plane-wave DFT calculation with PBE-GGA was carried out for a relaxed Ag2SbIr crystal.

Results
**Volume**: 19.365 Å³ per atom

Geometry as CIF:
```
data_Ag2SbIr
_space_group_name_H-M_alt 'C m m 2'
_space_group_IT_number 35
_space_group_name_Hall 'C 2 -2'
_cell_length_a 3.072
_cell_length_b 5.069
_cell_length_c 9.949
_cell_angle_alpha 90.00
_cell_angle_beta 90.00
_cell_angle_gamma 90.00
loop_
_atom_site_label
_atom_site_type_symbol
_atom_site_fract_x
_atom_site_fract_y
_atom_site_fract_z
Ag1 Ag 0.000 0.000 0.000
Ag2 Ag 0.000 0.500 0.241
Sb1 Sb 0.000 0.500 0.701
Ir1 Ir 0.000 0.000 0.479
```

No. 8
A plane-wave DFT calculation with PBE-GGA was carried out for a relaxed AgSbIr2 crystal.

Results
**Volume**: 16.899 Å³ per atom

Geometry as CIF:
```
data_AgSbIr2
_space_group_name_H-M_alt 'I -4 m 2'
_space_group_IT_number 119
_space_group_name_Hall 'I -4 -2'
_cell_length_a 4.047
_cell_length_b 4.047
_cell_length_c 8.256
_cell_angle_alpha 90.00
_cell_angle_beta 90.00
_cell_angle_gamma 90.00
loop_
_atom_site_label
_atom_site_type_symbol
_atom_site_fract_x
_atom_site_fract_y
_atom_site_fract_z
Ag1 Ag 0.000 0.000 0.000
Sb1 Sb 0.000 0.500 0.250
Ir1 Ir 0.000 0.000 0.500
Ir2 Ir 0.000 0.500 0.750
```

No. 9
A plane-wave DFT calculation with PBE-GGA was carried out for a relaxed Ag2SbIr crystal.

Results
**Volume**: 18.485 Å³ per atom

Geometry as CIF:
```
data_Ag2SbIr
_space_group_name_H-M_alt 'P 1 m 1'
_space_group_IT_number 6
_space_group_name_Hall 'P -2y'
_cell_length_a 3.186
_cell_length_b 3.763
_cell_length_c 6.168
_cell_angle_alpha 90.00
_cell_angle_beta 90.33
_cell_angle_gamma 90.00
loop_
_atom_site_label
_atom_site_type_symbol
_atom_site_fract_x
_atom_site_fract_y
_atom_site_fract_z
Ag1 Ag 0.000 0.000 0.000
Ag2 Ag 0.498 0.500 0.778
Sb1 Sb 0.000 0.000 0.468
Ir1 Ir 0.498 0.500 0.270
```

No. 10
A plane-wave DFT calculation with PBE-GGA was carried out for a relaxed Ag2SbIr crystal.

Results
**Volume**: 18.900 Å³ per atom

Geometry as CIF:
```
data_Ag2SbIr
_space_group_name_H-M_alt 'R -3 m'
_space_group_IT_number 166
_space_group_name_Hall '-R 3 2"'
_cell_length_a 3.0126
_cell_length_b 3.0126
_cell_length_c 28.8555
_cell_angle_alpha 90.00
_cell_angle_beta 90.00
_cell_angle_gamma 120.00
loop_
_atom_site_label
_atom_site_type_symbol
_atom_site_fract_x
_atom_site_fract_y
_atom_site_fract_z
Ag1 Ag 0.0000 0.0000 0.2446
Sb1 Sb 0.0000 0.0000 0.0000
Ir1 Ir 0.0000 0.0000 0.5000
```

No. 11
A plane-wave DFT calculation with PBE-GGA was carried out for a relaxed AgSbIr2 crystal.

Results
**Volume**: 17.162 Å³ per atom

Geometry as CIF:
```
data_AgSbIr2
_space_group_name_H-M_alt 'F -4 3 m'
_space_group_IT_number 216
_space_group_name_Hall 'F -4 2 3'
_cell_length_a 6.500
_cell_length_b 6.500
_cell_length_c 6.500
_cell_angle_alpha 90.00
_cell_angle_beta 90.00
_cell_angle_gamma 90.00
loop_
_atom_site_label
_atom_site_type_symbol
_atom_site_fract_x
_atom_site_fract_y
_atom_site_fract_z
Ag1 Ag 0.000 0.000 0.000
Sb1 Sb 0.250 0.250 0.250
Ir1 Ir 0.000 0.000 0.500
Ir2 Ir 0.250 0.250 0.750
```

No. 12
A plane-wave DFT calculation with PBE-GGA was carried out for a relaxed AgSb2Ir crystal.

Results
**Volume**: 23.348 Å³ per atom
**Energy above the lowest structure with this stoichiometry**: 0.199 eV per atom

Geometry as CIF:
```
data_AgSb2Ir
_space_group_name_H-M_alt 'R 3 m'
_space_group_IT_number 160
_space_group_name_Hall 'R 3 -2"'
_cell_length_a 3.9274
_cell_length_b 3.9274
_cell_length_c 20.9744
_cell_angle_alpha 90.00
_cell_angle_beta 90.00
_cell_angle_gamma 120.00
loop_
_atom_site_label
_atom_site_type_symbol
_atom_site_fract_x
_atom_site_fract_y
_atom_site_fract_z
Ag1 Ag 0.0000 0.0000 0.0000
Sb1 Sb 0.0000 0.0000 0.2598
Sb2 Sb 0.0000 0.0000 0.4688
Ir1 Ir 0.0000 0.0000 0.7417
```

No. 13
A plane-wave DFT calculation with PBE-GGA was carried out for a relaxed AgSb2Ir crystal.

Results
**Volume**: 22.074 Å³ per atom
**Energy above the lowest structure with this stoichiometry**: 0.069 eV per atom

Geometry as CIF:
```
data_AgSb2Ir
_space_group_name_H-M_alt 'I m m 2'
_space_group_IT_number 44
_space_group_name_Hall 'I 2 -2'
_cell_length_a 3.261
_cell_length_b 4.204
_cell_length_c 12.881
_cell_angle_alpha 90.00
_cell_angle_beta 90.00
_cell_angle_gamma 90.00
loop_
_atom_site_label
_atom_site_type_symbol
_atom_site_fract_x
_atom_site_fract_y
_atom_site_fract_z
Ag1 Ag 0.000 0.000 0.000
Sb1 Sb 0.000 0.000 0.381
Sb2 Sb 0.000 0.500 0.160
Ir1 Ir 0.000 0.500 0.714
```

No. 14
A plane-wave DFT calculation with PBE-GGA was carried out for a relaxed AgSbIr2 crystal.

Results
**Volume**: 17.409 Å³ per atom

Geometry as CIF:
```
data_AgSbIr2
_space_group_name_H-M_alt 'C 1 m 1'
_space_group_IT_number 8
_space_group_name_Hall 'C -2y'
_cell_length_a 10.280
_cell_length_b 3.014
_cell_length_c 5.082
_cell_angle_alpha 90.00
_cell_angle_beta 117.81
_cell_angle_gamma 90.00
loop_
_atom_site_label
_atom_site_type_symbol
_atom_site_fract_x
_atom_site_fract_y
_atom_site_fract_z
Ag1 Ag 0.000 0.000 0.000
Sb1 Sb 0.291 0.500 0.402
Ir1 Ir 0.041 0.500 0.517
Ir2 Ir 0.255 0.000 0.937
```

No. 15
A plane-wave DFT calculation with PBE-GGA was carried out for a relaxed Ag4SbIr crystal.

Results
**Volume**: 18.868 Å³ per atom

Geometry as CIF:
```
data_Ag4SbIr
_space_group_name_H-M_alt 'F -4 3 m'
_space_group_IT_number 216
_space_group_name_Hall 'F -4 2 3'
_cell_length_a 7.679
_cell_length_b 7.679
_cell_length_c 7.679
_cell_angle_alpha 90.00
_cell_angle_beta 90.00
_cell_angle_gamma 90.00
loop_
_atom_site_label
_atom_site_type_symbol
_atom_site_fract_x
_atom_site_fract_y
_atom_site_fract_z
Ag1 Ag 0.125 0.125 0.125
Sb1 Sb 0.000 0.000 0.500
Ir1 Ir 0.250 0.250 0.750
```

No. 16
A plane-wave DFT calculation with PBE-GGA was carried out for a relaxed AgSbIr2 crystal.

Results
**Volume**: 18.638 Å³ per atom

Geometry as CIF:
```
data_AgSbIr2
_space_group_name_H-M_alt 'I -4 2 d'
_space_group_IT_number 122
_space_group_name_Hall 'I -4 2bw'
_cell_length_a 7.372
_cell_length_b 7.372
_cell_length_c 5.488
_cell_angle_alpha 90.00
_cell_angle_beta 90.00
_cell_angle_gamma 90.00
loop_
_atom_site_label
_atom_site_type_symbol
_atom_site_fract_x
_atom_site_fract_y
_atom_site_fract_z
Ag1 Ag 0.000 0.000 0.000
Sb1 Sb 0.000 0.000 0.500
Ir1 Ir 0.220 0.750 0.625
```

No. 17
A plane-wave DFT calculation with PBE-GGA was carried out for a relaxed Ag2SbIr crystal.

Results
**Volume**: 18.013 Å³ per atom

Geometry as CIF:
```
data_Ag2SbIr
_space_group_name_H-M_alt 'I -4 m 2'
_space_group_IT_number 119
_space_group_name_Hall 'I -4 -2'
_cell_length_a 4.264
_cell_length_b 4.264
_cell_length_c 7.925
_cell_angle_alpha 90.00
_cell_angle_beta 90.00
_cell_angle_gamma 90.00
loop_
_atom_site_label
_atom_site_type_symbol
_atom_site_fract_x
_atom_site_fract_y
_atom_site_fract_z
Ag1 Ag 0.000 0.000 0.000
Ag2 Ag 0.000 0.500 0.250
Sb1 Sb 0.000 0.000 0.500
Ir1 Ir 0.000 0.500 0.750
```

No. 18
A plane-wave DFT calculation with PBE-GGA was carried out for a relaxed Ag2SbIr crystal.

Results
**Volume**: 19.948 Å³ per atom

Geometry as CIF:
```
data_Ag2SbIr
_space_group_name_H-M_alt 'I -4 2 d'
_space_group_IT_number 122
_space_group_name_Hall 'I -4 2bw'
_cell_length_a 7.796
_cell_length_b 7.796
_cell_length_c 5.251
_cell_angle_alpha 90.00
_cell_angle_beta 90.00
_cell_angle_gamma 90.00
loop_
_atom_site_label
_atom_site_type_symbol
_atom_site_fract_x
_atom_site_fract_y
_atom_site_fract_z
Ag1 Ag 0.238 0.750 0.125
Sb1 Sb 0.000 0.000 0.500
Ir1 Ir 0.000 0.000 0.000
```

No. 19
A plane-wave DFT calculation with PBE-GGA was carried out for a relaxed AgSbIr2 crystal.

Results
**Volume**: 18.143 Å³ per atom

Geometry as CIF:
```
data_AgSbIr2
_space_group_name_H-M_alt 'C m m 2'
_space_group_IT_number 35
_space_group_name_Hall 'C 2 -2'
_cell_length_a 2.885
_cell_length_b 5.064
_cell_length_c 9.936
_cell_angle_alpha 90.00
_cell_angle_beta 90.00
_cell_angle_gamma 90.00
loop_
_atom_site_label
_atom_site_type_symbol
_atom_site_fract_x
_atom_site_fract_y
_atom_site_fract_z
Ag1 Ag 0.000 0.000 0.000
Sb1 Sb 0.000 0.500 0.292
Ir1 Ir 0.000 0.000 0.534
Ir2 Ir 0.000 0.500 0.757
```

No. 20
A plane-wave DFT calculation with PBE-GGA was carried out for a relaxed AgSbIr2 crystal.

Results
**Volume**: 16.654 Å³ per atom

Geometry as CIF:
```
data_AgSbIr2
_space_group_name_H-M_alt 'I 4/m m m'
_space_group_IT_number 139
_space_group_name_Hall '-I 4 2'
_cell_length_a 4.278
_cell_length_b 4.278
_cell_length_c 7.281
_cell_angle_alpha 90.00
_cell_angle_beta 90.00
_cell_angle_gamma 90.00
loop_
_atom_site_label
_atom_site_type_symbol
_atom_site_fract_x
_atom_site_fract_y
_atom_site_fract_z
Ag1 Ag 0.000 0.000 0.000
Sb1 Sb 0.000 0.000 0.500
Ir1 Ir 0.000 0.500 0.250
```

Number 1: uncorrected energy -3.564 eV/atom, raw formation energy 1.20 eV/atom, mass density 6.89 g cm⁻³. Number 2: uncorrected energy -3.524 eV/atom, raw formation energy 0.55 eV/atom, mass density 5.98 g cm⁻³. Number 3: uncorrected energy -4.470 eV/atom, raw formation energy 0.20 eV/atom, mass density 11.81 g cm⁻³. Number 4: uncorrected energy -4.470 eV/atom, raw formation energy 0.52 eV/atom, mass density 10.99 g cm⁻³. Number 5: uncorrected energy -5.814 eV/atom, raw formation energy 0.36 eV/atom, mass density 14.03 g cm⁻³. Number 6: uncorrected energy -4.652 eV/atom, raw formation energy 0.34 eV/atom, mass density 11.14 g cm⁻³. Number 7: uncorrected energy -4.325 eV/atom, raw formation energy 0.35 eV/atom, mass density 11.36 g cm⁻³. Number 8: uncorrected energy -5.768 eV/atom, raw formation energy 0.41 eV/atom, mass density 15.08 g cm⁻³. Number 9: uncorrected energy -4.528 eV/atom, raw formation energy 0.14 eV/atom, mass density 11.90 g cm⁻³. Number 10: uncorrected energy -4.162 eV/atom, raw formation energy 0.51 eV/atom, mass density 11.64 g cm⁻³. Number 11: uncorrected energy -5.717 eV/atom, raw formation energy 0.46 eV/atom, mass density 14.85 g cm⁻³. Number 12: uncorrected energy -4.734 eV/atom, raw formation energy 0.25 eV/atom, mass density 9.67 g cm⁻³. Number 13: uncorrected energy -4.864 eV/atom, raw formation energy 0.13 eV/atom, mass density 10.22 g cm⁻³. Number 14: uncorrected energy -5.896 eV/atom, raw formation energy 0.28 eV/atom, mass density 14.64 g cm⁻³. Number 15: uncorrected energy -3.586 eV/atom, raw formation energy 0.48 eV/atom, mass density 10.93 g cm⁻³. Number 16: uncorrected energy -5.678 eV/atom, raw formation energy 0.50 eV/atom, mass density 13.68 g cm⁻³. Number 17: uncorrected energy -4.440 eV/atom, raw formation energy 0.23 eV/atom, mass density 12.21 g cm⁻³. Number 18: uncorrected energy -4.203 eV/atom, raw formation energy 0.47 eV/atom, mass density 11.02 g cm⁻³. Number 19: uncorrected energy -5.642 eV/atom, raw formation energy 0.53 eV/atom, mass density 14.05 g cm⁻³. Number 20: uncorrected energy -5.941 eV/atom, raw formation energy 0.23 eV/atom, mass density 15.31 g cm⁻³.